[1]
Here is Ca2NdAgS4 after structural relaxation from the Alexandria database. Energies are from PBE.

a b c (Å): 4.077 6.907 7.032
angles (deg): 109.70 90.00 90.00
Sites, in units of the cell vectors:
Ca 0.500 0.000 0.500
Ca 0.000 0.500 0.500
Nd 0.500 0.500 0.000
Ag 0.000 0.000 0.000
S 0.500 0.253 0.251
S 0.500 0.747 0.749
S 0.000 0.255 0.747
S 0.000 0.745 0.253

Summary:
SG ... P2/m
Formation energy from raw total energies ... -161 kJ per mole of atoms
E ... -41.5 eV per cell

***

[2]
Here is CaNd2AgSe4 after structural relaxation from the Alexandria database. Energies are from PBE.

a b c (Å): 4.218 7.260 7.335
angles (deg): 110.11 90.00 90.00
Sites, in units of the cell vectors:
Ca 0.500 0.500 0.000
Nd 0.500 0.000 0.500
Nd 0.000 0.500 0.500
Ag 0.000 0.000 0.000
Se 0.500 0.246 0.245
Se 0.500 0.754 0.755
Se 0.000 0.253 0.753
Se 0.000 0.747 0.247

Summary:
SG ... P2/m
Formation energy from raw total energies ... -147 kJ per mole of atoms
E ... -40.5 eV per cell

***

[3]
Here is Ca3Nd2AgSe6 after structural relaxation from the Alexandria database. Energies are from PBE.

a b c (Å): 7.286 7.286 7.307
angles (deg): 99.58 99.58 119.95
Sites, in units of the cell vectors:
Ca 0.165 0.835 0.500
Ca 0.835 0.165 0.500
Ca 0.500 0.500 0.500
Nd 0.333 0.667 0.000
Nd 0.667 0.333 0.000
Ag 0.000 0.000 0.000
Se 0.916 0.582 0.748
Se 0.750 0.750 0.251
Se 0.084 0.418 0.252
Se 0.582 0.916 0.748
Se 0.250 0.250 0.749
Se 0.418 0.084 0.252

Summary:
SG ... C2/m
Formation energy from raw total energies ... -162 kJ per mole of atoms
E ... -59.5 eV per cell